No. 1
RbPuMoO6 after structural relaxation. Source: Alexandria, functional GGA+U.

Geometry as extended XYZ:
```
18
Lattice="-6.190 -1.579 4.396 -2.759 -4.334 -5.442 7.037 -1.290 2.605" Properties=species:S:1:pos:R:3 pbc="T T T"
O -5.082 -4.490 0.517
O -2.869 -3.926 -1.055
O 3.169 -2.712 1.043
O 0.956 -3.277 2.615
O -1.174 -4.735 -3.354
O -3.535 -2.286 1.040
O 1.623 -4.916 0.519
O -3.439 -1.911 3.756
O -1.226 -1.346 2.184
O -0.739 -2.468 4.913
O -0.687 -5.856 -0.625
O 1.527 -5.291 -2.197
Pu 0.423 -1.434 3.501
Pu 3.518 -0.645 1.302
Mo -4.475 -2.956 -0.523
Mo -3.095 -0.790 2.198
Rb -0.001 -2.226 -0.800
Rb -1.912 -4.977 2.359
```

Computed properties:
**V**: 312.1 Å³ per cell
**Fermi-level density of states**: 0.61 states/eV per atom
**Crystal system**: orthorhombic
**Final energy**: -7.91 eV/atom

***

No. 2
Sr2PuMoO6 after structural relaxation. Source: Alexandria, functional GGA+U.

Geometry as extended XYZ:
```
20
Lattice="-4.314 3.054 2.554 2.589 -0.782 5.309 4.321 7.049 -1.070" Properties=species:S:1:pos:R:3 pbc="T T T"
O -1.495 4.162 4.862
O 2.770 8.518 5.200
O 0.759 0.655 4.479
O -0.173 0.802 1.593
O 0.966 5.645 5.638
O 3.981 5.809 5.424
O 1.631 3.676 1.156
O 1.837 8.666 2.314
O -1.385 3.511 1.369
O 2.548 3.533 4.011
O 4.091 5.159 1.932
O 0.048 5.788 2.782
Pu 1.295 -0.391 2.654
Pu 0.003 5.051 0.742
Sr 3.531 1.046 4.853
Sr 0.150 2.895 3.430
Sr -0.935 8.275 1.940
Sr 2.446 6.426 3.363
Mo 3.455 3.134 2.120
Mo -2.157 1.527 1.277
```

Computed properties:
**V**: 291.6 Å³ per cell
**Fermi-level density of states**: 0.85 states/eV per atom
**Crystal system**: monoclinic
**Final energy**: -8.10 eV/atom

***

No. 3
PuTlMoO6 after structural relaxation. Source: Alexandria, functional GGA+U.

Geometry as extended XYZ:
```
18
Lattice="5.554 0.000 0.000 -2.777 4.810 0.000 0.000 0.000 12.121" Properties=species:S:1:pos:R:3 pbc="T T T"
O 1.802 2.917 8.005
O -0.975 1.894 1.944
O 0.975 1.894 4.117
O 2.127 0.103 8.005
O 1.625 3.019 1.944
O 3.752 2.917 10.177
O 1.152 1.791 10.177
O 4.402 1.791 8.005
O -0.650 4.708 1.944
O 3.427 0.103 10.177
O -1.625 3.019 4.117
O 0.650 4.708 4.117
Mo 0.000 3.207 3.030
Mo 2.777 1.603 9.091
Tl 0.000 0.000 0.000
Tl 0.000 0.000 6.061
Pu 0.000 3.207 9.091
Pu 2.777 1.603 3.030
```

Computed properties:
**V**: 323.9 Å³ per cell
**Fermi-level density of states**: 0.85 states/eV per atom
**Crystal system**: trigonal
**Final energy**: -7.83 eV/atom

***

No. 4
PuUMoO6 after structural relaxation. Source: Alexandria, functional GGA+U.

Geometry as extended XYZ:
```
18
Lattice="-4.673 2.982 0.159 -0.203 -5.410 -1.202 -1.005 -2.086 9.561" Properties=species:S:1:pos:R:3 pbc="T T T"
Mo -3.937 -1.380 6.876
Mo -1.944 -3.134 1.642
O -3.848 -2.926 5.386
O -0.711 -3.173 5.662
O -1.006 -5.366 7.477
O -2.436 -5.714 4.926
O -4.875 0.852 1.042
O -4.148 -5.249 7.172
O -3.348 -1.878 0.606
O -1.733 0.734 1.346
O -3.445 1.200 3.592
O -5.171 -1.341 2.856
O -2.033 -1.588 3.132
O -2.534 -2.636 7.912
U -2.447 -4.177 6.423
U -3.434 -0.337 2.096
Pu -0.503 -1.043 4.781
Pu 0.000 0.000 0.000
```

Computed properties:
**V**: 262.0 Å³ per cell
**Fermi-level density of states**: 0.84 states/eV per atom
**Crystal system**: trigonal
**Final energy**: -9.64 eV/atom

***

No. 5
RbMo2O after structural relaxation. Source: Alexandria, functional GGA+U.

Geometry as extended XYZ:
```
8
Lattice="-6.446 -0.763 -2.917 0.687 -7.075 0.332 -4.961 -3.906 3.306" Properties=species:S:1:pos:R:3 pbc="T T T"
O -2.879 -3.919 -1.292
O -3.576 -7.450 1.173
Mo -3.572 -2.147 -0.226
Mo -8.931 -8.019 0.135
Mo -3.228 -5.685 -0.060
Mo -5.708 -7.637 1.593
Rb 0.000 0.000 0.000
Rb -7.143 -4.294 -0.452
```

Computed properties:
**V**: 255.6 Å³ per cell
**Fermi-level density of states**: 0.29 states/eV per atom
**Crystal system**: tetragonal
**Final energy**: -4.77 eV/atom

***

No. 6
RbMoO4 after structural relaxation. Source: Alexandria, functional GGA+U.

Geometry as extended XYZ:
```
12
Lattice="5.361 -1.052 -1.157 -3.057 6.830 -3.281 -0.293 -0.484 7.526" Properties=species:S:1:pos:R:3 pbc="T T T"
O 0.534 5.325 2.135
O -0.038 4.403 -0.415
O 2.470 3.564 1.083
O 2.048 0.891 3.503
O -0.459 1.729 2.005
O 0.059 0.704 4.685
O 1.476 -0.032 0.952
O 1.952 4.590 -1.597
Rb -0.873 3.692 4.165
Rb 2.884 1.602 -1.077
Mo 1.413 4.904 0.662
Mo 0.597 0.390 2.426
```

Computed properties:
**Excess energy over the best structure of this formula in the dataset**: 0.0 meV per atom
**V**: 237.8 Å³ per cell
**Crystal system**: triclinic
**Final energy**: -6.10 eV/atom

***

No. 7
Rb2MoO after structural relaxation. Source: Alexandria, functional GGA+U.

Geometry as extended XYZ:
```
8
Lattice="-1.106 10.776 -6.830 -12.539 0.346 2.576 -6.449 6.659 -0.455" Properties=species:S:1:pos:R:3 pbc="T T T"
Mo -7.189 11.498 -4.706
Mo 0.000 0.000 0.000
Rb -3.658 6.366 -2.744
Rb -14.359 14.659 -4.560
Rb -9.801 5.305 -0.674
Rb -12.371 9.232 -1.440
O -6.823 5.561 -2.127
O -12.906 6.283 -0.003
```

Computed properties:
**V**: 333.7 Å³ per cell
**Fermi-level density of states**: 0.55 states/eV per atom
**Crystal system**: tetragonal
**Final energy**: -3.75 eV/atom

***

No. 8
Rb3Mo2O8 after structural relaxation. Source: Alexandria, functional GGA+U.

Geometry as extended XYZ:
```
13
Lattice="-2.410 5.197 -2.885 -5.640 2.397 1.897 0.844 6.914 4.619" Properties=species:S:1:pos:R:3 pbc="T T T"
O -2.595 2.641 -0.205
O -4.611 11.867 3.836
O -2.970 6.418 -0.219
O -2.755 9.374 1.657
O -5.556 7.517 0.651
O -4.236 8.090 3.850
O -1.650 6.991 2.980
O -4.450 5.134 1.974
Rb -1.245 4.319 1.689
Rb 0.000 0.000 0.000
Rb -5.961 10.189 1.942
Mo -2.600 8.501 3.223
Mo -4.606 6.007 0.408
```

Computed properties:
**V**: 267.0 Å³ per cell
**Fermi-level density of states**: 1.30 states/eV per atom
**Crystal system**: trigonal
**Final energy**: -6.05 eV/atom

***

No. 9
Rb3MoO3 after structural relaxation. Source: Alexandria, functional GGA+U.

Geometry as extended XYZ:
```
14
Lattice="6.838 0.596 0.437 0.471 6.627 -2.595 0.424 0.042 7.120" Properties=species:S:1:pos:R:3 pbc="T T T"
O 6.507 6.546 4.469
O 2.454 3.987 4.704
O 1.226 0.720 0.494
O 2.468 5.835 1.978
O 5.279 3.279 0.259
O 5.266 1.431 2.985
Mo 1.507 5.324 3.616
Mo 6.226 1.941 1.346
Rb 0.459 4.901 -0.048
Rb 4.985 4.639 3.169
Rb 0.436 1.768 4.574
Rb 3.851 1.531 5.582
Rb 3.882 5.734 -0.619
Rb 2.749 2.627 1.794
```

Computed properties:
**V**: 319.5 Å³ per cell
**Fermi-level density of states**: 0.12 states/eV per atom
**Crystal system**: monoclinic
**Final energy**: -4.81 eV/atom